## NaSbPb3 (PBE)

Data for NaSbPb3 after structural relaxation.

Output
Total DFT energy (no corrections): -3.387 eV per atom
DOS(E_F): 0.369 states/eV per atom
Total magnetization: 0.000 μB/f.u.

```
data_NaSbPb3
_chemical_formula_sum 'Na4 Sb4 Pb12'
_symmetry_space_group_name_H-M 'C 1 2/m 1'
_symmetry_Int_Tables_number 12
_symmetry_space_group_name_Hall '-C 2y'
_cell_length_a 18.0365
_cell_length_b 5.2767
_cell_length_c 7.0538
_cell_angle_alpha 90.00
_cell_angle_beta 112.89
_cell_angle_gamma 90.00
loop_
_atom_site_label
_atom_site_type_symbol
_atom_site_fract_x
_atom_site_fract_y
_atom_site_fract_z
Na1 Na 0.0143 0.0000 0.2568
Sb1 Sb 0.0984 0.5000 0.0969
Pb1 Pb 0.1032 0.5000 0.6419
Pb2 Pb 0.1922 0.0000 0.0585
Pb3 Pb 0.2124 0.0000 0.5971
```

=====

## Na2SbPb (PBE)

Data for Na2SbPb after structural relaxation.

Output
Total DFT energy (no corrections): -2.870 eV per atom
DOS(E_F): 0.360 states/eV per atom
Total magnetization: 0.000 μB/f.u.

```
data_Na2SbPb
_chemical_formula_sum 'Na2 Sb1 Pb1'
_symmetry_space_group_name_H-M 'P 1'
_symmetry_Int_Tables_number 1
_symmetry_space_group_name_Hall 'P 1'
_cell_length_a 4.8117
_cell_length_b 4.9091
_cell_length_c 5.8648
_cell_angle_alpha 114.72
_cell_angle_beta 114.13
_cell_angle_gamma 90.04
loop_
_atom_site_label
_atom_site_type_symbol
_atom_site_fract_x
_atom_site_fract_y
_atom_site_fract_z
Na1 Na 0.0000 0.0000 0.0000
Na2 Na 0.4990 0.4989 0.9978
Sb1 Sb 0.7489 0.2800 0.4989
Pb1 Pb 0.2502 0.7248 0.4988
```